(1)
! RbGe3Pt3 | the Alexandria database | PBE | optimized geometry; values from VASP
! Formation energy   -9.42 kcal/mol of atoms
! E above lowest polymorph   0.000 eV/atom
&SYSTEM
  ibrav = 0, nat = 14, ntyp = 3
/
ATOMIC_SPECIES
Rb 85.47 Rb.upf
Ge 72.64 Ge.upf
Pt 195.08 Pt.upf
ATOMIC_POSITIONS crystal
Rb 0.164 0.164 0.164
Rb 0.836 0.836 0.836
Ge 0.039 0.211 0.610
Ge 0.211 0.610 0.039
Ge 0.390 0.961 0.789
Ge 0.610 0.039 0.211
Ge 0.789 0.390 0.961
Ge 0.961 0.789 0.390
Pt 0.158 0.382 0.625
Pt 0.375 0.842 0.618
Pt 0.382 0.625 0.158
Pt 0.618 0.375 0.842
Pt 0.625 0.158 0.382
Pt 0.842 0.618 0.375
CELL_PARAMETERS angstrom
3.437 1.984 8.430
-3.437 1.984 8.430
0.000 -3.968 8.430


(2)
! RbGe2Pt5 | the Alexandria database | PBE | optimized geometry; values from VASP
! Formation energy   -7.72 kcal/mol of atoms
&SYSTEM
  ibrav = 0, nat = 8, ntyp = 3
/
ATOMIC_SPECIES
Rb 85.47 Rb.upf
Ge 72.64 Ge.upf
Pt 195.08 Pt.upf
ATOMIC_POSITIONS crystal
Rb 0.000 0.000 0.000
Ge 0.256 0.756 0.500
Ge 0.744 0.244 0.500
Pt 0.156 0.347 0.809
Pt 0.463 0.653 0.809
Pt 0.500 0.000 0.500
Pt 0.537 0.347 0.191
Pt 0.844 0.653 0.191
CELL_PARAMETERS angstrom
-2.005 3.671 5.087
2.005 -3.671 5.087
2.005 3.671 -5.087


(3)
! RbGePt | the Alexandria database | PBE | optimized geometry; values from VASP
! Formation energy   -4.91 kcal/mol of atoms
! E above lowest polymorph   0.200 eV/atom
&SYSTEM
  ibrav = 0, nat = 3, ntyp = 3
/
ATOMIC_SPECIES
Rb 85.47 Rb.upf
Ge 72.64 Ge.upf
Pt 195.08 Pt.upf
ATOMIC_POSITIONS crystal
Rb 0.000 0.000 0.000
Ge 0.286 0.286 0.000
Pt 0.711 0.711 0.000
CELL_PARAMETERS angstrom
-1.702 1.702 6.398
1.702 -1.702 6.398
1.702 1.702 -6.398


(4)
! RbGe3Pt | the Alexandria database | PBE | optimized geometry; values from VASP
! Formation energy   49.15 kcal/mol of atoms
! E above lowest polymorph   2.213 eV/atom
&SYSTEM
  ibrav = 0, nat = 5, ntyp = 3
/
ATOMIC_SPECIES
Rb 85.47 Rb.upf
Ge 72.64 Ge.upf
Pt 195.08 Pt.upf
ATOMIC_POSITIONS crystal
Rb 0.000 0.000 0.000
Ge 0.000 0.000 0.500
Ge 0.000 0.500 0.000
Ge 0.500 0.000 0.000
Pt 0.500 0.500 0.500
CELL_PARAMETERS angstrom
5.384 0.000 0.000
0.000 5.384 0.000
0.000 0.000 5.384


(5)
! RbGe6Pt12 | the Alexandria database | PBE | optimized geometry; values from VASP
! Formation energy   -7.09 kcal/mol of atoms
&SYSTEM
  ibrav = 0, nat = 19, ntyp = 3
/
ATOMIC_SPECIES
Rb 85.47 Rb.upf
Ge 72.64 Ge.upf
Pt 195.08 Pt.upf
ATOMIC_POSITIONS crystal
Rb 0.000 0.000 0.000
Ge 0.255 0.255 0.691
Ge 0.255 0.691 0.255
Ge 0.309 0.745 0.745
Ge 0.691 0.255 0.255
Ge 0.745 0.309 0.745
Ge 0.745 0.745 0.309
Pt 0.125 0.500 0.875
Pt 0.125 0.875 0.500
Pt 0.175 0.425 0.425
Pt 0.425 0.175 0.425
Pt 0.425 0.425 0.175
Pt 0.500 0.125 0.875
Pt 0.500 0.875 0.125
Pt 0.575 0.575 0.825
Pt 0.575 0.825 0.575
Pt 0.825 0.575 0.575
Pt 0.875 0.125 0.500
Pt 0.875 0.500 0.125
CELL_PARAMETERS angstrom
5.849 3.377 2.862
-5.849 3.377 2.862
0.000 -6.754 2.862


(6)
! Rb2Ge5Pt3 | the Alexandria database | PBE | optimized geometry; values from VASP
! Formation energy   -6.65 kcal/mol of atoms
&SYSTEM
  ibrav = 0, nat = 20, ntyp = 3
/
ATOMIC_SPECIES
Rb 85.47 Rb.upf
Ge 72.64 Ge.upf
Pt 195.08 Pt.upf
ATOMIC_POSITIONS crystal
Rb 0.129 0.246 0.376
Rb 0.371 0.746 0.117
Rb 0.629 0.254 0.883
Rb 0.871 0.754 0.624
Ge 0.001 0.750 0.251
Ge 0.115 0.635 0.749
Ge 0.250 0.250 0.000
Ge 0.385 0.135 0.520
Ge 0.499 0.750 0.749
Ge 0.501 0.250 0.251
Ge 0.615 0.865 0.480
Ge 0.750 0.750 0.000
Ge 0.885 0.365 0.251
Ge 0.999 0.250 0.749
Pt 0.126 0.887 0.013
Pt 0.250 0.750 0.500
Pt 0.374 0.387 0.761
Pt 0.626 0.613 0.239
Pt 0.750 0.250 0.500
Pt 0.874 0.113 0.987
CELL_PARAMETERS angstrom
-5.264 6.494 3.182
5.264 -6.494 3.182
5.264 6.494 -3.182


(7)
! RbGePt | the Alexandria database | PBE | optimized geometry; values from VASP
! Formation energy   -9.52 kcal/mol of atoms
! E above lowest polymorph   0.000 eV/atom
&SYSTEM
  ibrav = 0, nat = 6, ntyp = 3
/
ATOMIC_SPECIES
Rb 85.47 Rb.upf
Ge 72.64 Ge.upf
Pt 195.08 Pt.upf
ATOMIC_POSITIONS crystal
Rb 0.249 0.249 0.215
Rb 0.751 0.751 0.785
Ge 0.250 0.250 0.606
Ge 0.750 0.750 0.394
Pt 0.250 0.750 0.500
Pt 0.750 0.250 0.500
CELL_PARAMETERS angstrom
3.513 -2.827 0.000
3.513 2.827 0.000
-0.033 0.000 10.815


(8)
! Rb2Ge3Pt2 | the Alexandria database | PBE | optimized geometry; values from VASP
! Formation energy   -8.35 kcal/mol of atoms
&SYSTEM
  ibrav = 0, nat = 7, ntyp = 3
/
ATOMIC_SPECIES
Rb 85.47 Rb.upf
Ge 72.64 Ge.upf
Pt 195.08 Pt.upf
ATOMIC_POSITIONS crystal
Rb 0.143 0.472 0.241
Rb 0.857 0.528 0.759
Ge 0.347 0.864 0.442
Ge 0.500 0.000 0.000
Ge 0.653 0.136 0.558
Pt 0.110 0.993 0.784
Pt 0.890 0.007 0.216
CELL_PARAMETERS angstrom
4.147 0.000 0.000
2.059 6.578 0.000
2.063 1.126 6.587


(9)
! RbGe2Pt | the Alexandria database | PBE | optimized geometry; values from VASP
! Formation energy   8.03 kcal/mol of atoms
&SYSTEM
  ibrav = 0, nat = 4, ntyp = 3
/
ATOMIC_SPECIES
Rb 85.47 Rb.upf
Ge 72.64 Ge.upf
Pt 195.08 Pt.upf
ATOMIC_POSITIONS crystal
Rb 0.000 0.000 0.000
Ge 0.250 0.250 0.250
Ge 0.750 0.750 0.750
Pt 0.500 0.500 0.500
CELL_PARAMETERS angstrom
0.000 3.463 3.463
3.463 0.000 3.463
3.463 3.463 0.000


(10)
! RbGe2Pt | the Alexandria database | PBE | optimized geometry; values from VASP
! Formation energy   -1.00 kcal/mol of atoms
&SYSTEM
  ibrav = 0, nat = 8, ntyp = 3
/
ATOMIC_SPECIES
Rb 85.47 Rb.upf
Ge 72.64 Ge.upf
Pt 195.08 Pt.upf
ATOMIC_POSITIONS crystal
Rb 0.000 0.000 0.000
Rb 0.750 0.250 0.500
Ge 0.257 0.625 0.132
Ge 0.375 0.507 0.632
Ge 0.493 0.125 0.868
Ge 0.875 0.743 0.368
Pt 0.250 0.750 0.500
Pt 0.500 0.500 0.000
CELL_PARAMETERS angstrom
-3.908 3.908 4.179
3.908 -3.908 4.179
3.908 3.908 -4.179


(11)
! RbGe3Pt | the Alexandria database | PBE | optimized geometry; values from VASP
! Formation energy   6.47 kcal/mol of atoms
! E above lowest polymorph   0.363 eV/atom
&SYSTEM
  ibrav = 0, nat = 5, ntyp = 3
/
ATOMIC_SPECIES
Rb 85.47 Rb.upf
Ge 72.64 Ge.upf
Pt 195.08 Pt.upf
ATOMIC_POSITIONS crystal
Rb 0.000 0.000 0.000
Ge 0.000 0.500 0.500
Ge 0.500 0.000 0.500
Ge 0.500 0.500 0.000
Pt 0.500 0.500 0.500
CELL_PARAMETERS angstrom
5.096 0.000 0.000
0.000 5.096 0.000
0.000 0.000 5.096